Computed, not measured: a relaxed structure of BiPbO at the GGA-PBE level of DFT.

```
data_BiPbO
_chemical_formula_sum 'Bi4 Pb4 O4'
_space_group_name_H-M_alt 'P 1 21/c 1'
_space_group_IT_number 14
_space_group_name_Hall '-P 2ybc'
_cell_length_a 11.733
_cell_length_b 4.027
_cell_length_c 7.237
_cell_angle_alpha 90.00
_cell_angle_beta 92.40
_cell_angle_gamma 90.00
loop_
_atom_site_label
_atom_site_type_symbol
_atom_site_fract_x
_atom_site_fract_y
_atom_site_fract_z
_atom_site_occupancy
Bi1 Bi 0.073 0.248 0.372 1
Pb1 Pb 0.381 0.056 0.154 1
O1 O 0.427 0.612 0.343 1
```

crystal system	monoclinic
total energy	-4.81	eV per atom
formation energy from raw total energies	-0.628	eV per atom
total magnetization	0.000	Bohr magnetons per cell

Computed, not measured: a relaxed structure of Bi2PbO5 at the GGA-PBE level of DFT.

```
data_Bi2PbO5
_chemical_formula_sum 'Bi8 Pb4 O20'
_space_group_name_H-M_alt 'P 1 21/c 1'
_space_group_IT_number 14
_space_group_name_Hall '-P 2ybc'
_cell_length_a 8.108
_cell_length_b 5.750
_cell_length_c 11.643
_cell_angle_alpha 90.00
_cell_angle_beta 106.75
_cell_angle_gamma 90.00
loop_
_atom_site_label
_atom_site_type_symbol
_atom_site_fract_x
_atom_site_fract_y
_atom_site_fract_z
_atom_site_occupancy
Bi1 Bi 0.133 0.025 0.359 1
Bi2 Bi 0.359 0.038 0.688 1
Pb1 Pb 0.000 0.000 0.000 1
Pb2 Pb 0.500 0.000 0.000 1
O1 O 0.056 0.202 0.186 1
O2 O 0.096 0.679 0.094 1
O3 O 0.239 0.148 0.989 1
O4 O 0.399 0.716 0.342 1
O5 O 0.474 0.231 0.360 1
```

crystal system	monoclinic
total energy	-5.61	eV per atom
formation energy from raw total energies	-1.081	eV per atom
total magnetization	0.000	Bohr magnetons per cell

Computed, not measured: a relaxed structure of BiPb3O at the GGA-PBE level of DFT.

```
data_BiPb3O
_chemical_formula_sum 'Bi1 Pb3 O1'
_space_group_name_H-M_alt 'P m -3 m'
_space_group_IT_number 221
_space_group_name_Hall '-P 4 2 3'
_cell_length_a 6.056
_cell_length_b 6.056
_cell_length_c 6.056
_cell_angle_alpha 90.00
_cell_angle_beta 90.00
_cell_angle_gamma 90.00
loop_
_atom_site_label
_atom_site_type_symbol
_atom_site_fract_x
_atom_site_fract_y
_atom_site_fract_z
_atom_site_occupancy
Bi1 Bi 0.000 0.000 0.000 1
Pb1 Pb 0.000 0.000 0.500 1
O1 O 0.500 0.500 0.500 1
```

excess energy over the best structure of this formula in the dataset	1.357	eV/atom
crystal system	cubic
total energy	-2.97	eV per atom
formation energy from raw total energies	1.022	eV per atom
total magnetization	0.000	Bohr magnetons per cell

Computed, not measured: a relaxed structure of Bi12PbO20 at the GGA-PBE level of DFT.

```
data_Bi12PbO20
_chemical_formula_sum 'Bi24 Pb2 O40'
_space_group_name_H-M_alt 'I 2 3'
_space_group_IT_number 197
_space_group_name_Hall 'I 2 2 3'
_cell_length_a 10.413
_cell_length_b 10.413
_cell_length_c 10.413
_cell_angle_alpha 90.00
_cell_angle_beta 90.00
_cell_angle_gamma 90.00
loop_
_atom_site_label
_atom_site_type_symbol
_atom_site_fract_x
_atom_site_fract_y
_atom_site_fract_z
_atom_site_occupancy
Bi1 Bi 0.016 0.177 0.321 1
Pb1 Pb 0.000 0.000 0.000 1
O1 O 0.008 0.369 0.743 1
O2 O 0.117 0.117 0.883 1
O3 O 0.188 0.188 0.188 1
```

crystal system	cubic
total energy	-5.70	eV per atom
formation energy from raw total energies	-1.174	eV per atom
total magnetization	0.000	Bohr magnetons per cell

Computed, not measured: a relaxed structure of BiPb3O at the GGA-PBE level of DFT.

```
data_BiPb3O
_chemical_formula_sum 'Bi1 Pb3 O1'
_space_group_name_H-M_alt 'P m -3 m'
_space_group_IT_number 221
_space_group_name_Hall '-P 4 2 3'
_cell_length_a 5.140
_cell_length_b 5.140
_cell_length_c 5.140
_cell_angle_alpha 90.00
_cell_angle_beta 90.00
_cell_angle_gamma 90.00
loop_
_atom_site_label
_atom_site_type_symbol
_atom_site_fract_x
_atom_site_fract_y
_atom_site_fract_z
_atom_site_occupancy
Bi1 Bi 0.000 0.000 0.000 1
Pb1 Pb 0.000 0.500 0.500 1
O1 O 0.500 0.500 0.500 1
```

excess energy over the best structure of this formula in the dataset	0.000	eV/atom
crystal system	cubic
total energy	-4.33	eV per atom
formation energy from raw total energies	-0.335	eV per atom
total magnetization	0.000	Bohr magnetons per cell

Computed, not measured: a relaxed structure of Bi3Pb2O8 at the GGA-PBE level of DFT.

```
data_Bi3Pb2O8
_chemical_formula_sum 'Bi6 Pb4 O16'
_space_group_name_H-M_alt 'C 1 2/m 1'
_space_group_IT_number 12
_space_group_name_Hall '-C 2y'
_cell_length_a 12.384
_cell_length_b 6.867
_cell_length_c 6.049
_cell_angle_alpha 90.00
_cell_angle_beta 111.23
_cell_angle_gamma 90.00
loop_
_atom_site_label
_atom_site_type_symbol
_atom_site_fract_x
_atom_site_fract_y
_atom_site_fract_z
_atom_site_occupancy
Bi1 Bi 0.000 0.000 0.000 1
Bi2 Bi 0.000 0.259 0.500 1
Pb1 Pb 0.211 0.500 0.138 1
O1 O 0.096 0.000 0.425 1
O2 O 0.098 0.500 0.423 1
O3 O 0.113 0.231 0.877 1
```

crystal system	monoclinic
total energy	-5.50	eV per atom
formation energy from raw total energies	-0.986	eV per atom
total magnetization	0.000	Bohr magnetons per cell

Computed, not measured: a relaxed structure of Bi2PbO4 at the GGA-PBE level of DFT.

```
data_Bi2PbO4
_chemical_formula_sum 'Bi8 Pb4 O16'
_space_group_name_H-M_alt 'P n m a'
_space_group_IT_number 62
_space_group_name_Hall '-P 2ac 2n'
_cell_length_a 11.906
_cell_length_b 3.610
_cell_length_c 11.987
_cell_angle_alpha 90.00
_cell_angle_beta 90.00
_cell_angle_gamma 90.00
loop_
_atom_site_label
_atom_site_type_symbol
_atom_site_fract_x
_atom_site_fract_y
_atom_site_fract_z
_atom_site_occupancy
Bi1 Bi 0.101 0.250 0.096 1
Bi2 Bi 0.139 0.250 0.748 1
Pb1 Pb 0.125 0.250 0.433 1
O1 O 0.022 0.750 0.700 1
O2 O 0.049 0.250 0.915 1
O3 O 0.221 0.750 0.072 1
O4 O 0.242 0.250 0.297 1
```

excess energy over the best structure of this formula in the dataset	0.032	eV/atom
crystal system	orthorhombic
total energy	-5.55	eV per atom
formation energy from raw total energies	-1.075	eV per atom
total magnetization	0.000	Bohr magnetons per cell

Computed, not measured: a relaxed structure of BiPdPb2O5 at the GGA-PBE level of DFT.

```
data_BiPdPb2O5
_chemical_formula_sum 'Bi4 Pd4 Pb8 O20'
_space_group_name_H-M_alt 'C m c 21'
_space_group_IT_number 36
_space_group_name_Hall 'C 2c -2'
_cell_length_a 3.501
_cell_length_b 15.089
_cell_length_c 11.137
_cell_angle_alpha 90.00
_cell_angle_beta 90.00
_cell_angle_gamma 90.00
loop_
_atom_site_label
_atom_site_type_symbol
_atom_site_fract_x
_atom_site_fract_y
_atom_site_fract_z
_atom_site_occupancy
Bi1 Bi 0.000 0.221 0.000 1
Pd1 Pd 0.000 0.473 0.471 1
Pb1 Pb 0.000 0.104 0.691 1
Pb2 Pb 0.000 0.128 0.284 1
O1 O 0.000 0.085 0.082 1
O2 O 0.000 0.259 0.637 1
O3 O 0.000 0.352 0.393 1
O4 O 0.000 0.405 0.048 1
O5 O 0.000 0.472 0.802 1
```

crystal system	orthorhombic
total energy	-5.40	eV per atom
formation energy from raw total energies	-0.812	eV per atom
total magnetization	2.868	Bohr magnetons per cell

Computed, not measured: a relaxed structure of PmBi2PbO6 at the GGA-PBE level of DFT.

```
data_PmBi2PbO6
_chemical_formula_sum 'Pm3 Bi6 Pb3 O18'
_space_group_name_H-M_alt 'R 3'
_space_group_IT_number 146
_space_group_name_Hall 'R 3'
_cell_length_a 6.1931
_cell_length_b 6.1931
_cell_length_c 15.3148
_cell_angle_alpha 90.00
_cell_angle_beta 90.00
_cell_angle_gamma 120.00
loop_
_atom_site_label
_atom_site_type_symbol
_atom_site_fract_x
_atom_site_fract_y
_atom_site_fract_z
_atom_site_occupancy
Pm1 Pm 0.0000 0.0000 0.0000 1
Bi1 Bi 0.0000 0.0000 0.2833 1
Bi2 Bi 0.0000 0.0000 0.7802 1
Pb1 Pb 0.0000 0.0000 0.5004 1
O1 O 0.0662 0.3941 0.5498 1
O2 O 0.0673 0.6852 0.0501 1
```

crystal system	trigonal
total energy	-6.23	eV per atom
formation energy from raw total energies	-1.635	eV per atom
total magnetization	2.797	Bohr magnetons per cell

Computed, not measured: a relaxed structure of PmBiPb2O5 at the GGA-PBE level of DFT.

```
data_PmBiPb2O5
_chemical_formula_sum 'Pm4 Bi4 Pb8 O20'
_space_group_name_H-M_alt 'C m c 21'
_space_group_IT_number 36
_space_group_name_Hall 'C 2c -2'
_cell_length_a 3.788
_cell_length_b 13.810
_cell_length_c 13.166
_cell_angle_alpha 90.00
_cell_angle_beta 90.00
_cell_angle_gamma 90.00
loop_
_atom_site_label
_atom_site_type_symbol
_atom_site_fract_x
_atom_site_fract_y
_atom_site_fract_z
_atom_site_occupancy
Pm1 Pm 0.000 0.235 0.000 1
Bi1 Bi 0.000 0.039 0.436 1
Pb1 Pb 0.000 0.317 0.269 1
Pb2 Pb 0.000 0.435 0.665 1
O1 O 0.000 0.064 0.067 1
O2 O 0.000 0.124 0.859 1
O3 O 0.000 0.211 0.399 1
O4 O 0.000 0.283 0.613 1
O5 O 0.000 0.415 0.015 1
```

crystal system	orthorhombic
total energy	-6.28	eV per atom
formation energy from raw total energies	-1.742	eV per atom
total magnetization	0.000	Bohr magnetons per cell

Computed, not measured: a relaxed structure of PmBiPb2O6 at the GGA-PBE level of DFT.

```
data_PmBiPb2O6
_chemical_formula_sum 'Pm2 Bi2 Pb4 O12'
_space_group_name_H-M_alt 'P 1 21/c 1'
_space_group_IT_number 14
_space_group_name_Hall '-P 2ybc'
_cell_length_a 6.005
_cell_length_b 6.211
_cell_length_c 10.518
_cell_angle_alpha 90.00
_cell_angle_beta 124.51
_cell_angle_gamma 90.00
loop_
_atom_site_label
_atom_site_type_symbol
_atom_site_fract_x
_atom_site_fract_y
_atom_site_fract_z
_atom_site_occupancy
Pm1 Pm 0.000 0.000 0.000 1
Bi1 Bi 0.500 0.000 0.500 1
Pb1 Pb 0.243 0.037 0.749 1
O1 O 0.159 0.187 0.454 1
O2 O 0.271 0.709 0.451 1
O3 O 0.361 0.031 0.261 1
```

crystal system	monoclinic
total energy	-6.17	eV per atom
formation energy from raw total energies	-1.592	eV per atom
total magnetization	0.000	Bohr magnetons per cell

Computed, not measured: a relaxed structure of PrBiPbO at the GGA-PBE level of DFT.

```
data_PrBiPbO
_chemical_formula_sum 'Pr2 Bi2 Pb2 O2'
_space_group_name_H-M_alt 'I 4 m m'
_space_group_IT_number 107
_space_group_name_Hall 'I 4 -2'
_cell_length_a 3.392
_cell_length_b 3.392
_cell_length_c 17.912
_cell_angle_alpha 90.00
_cell_angle_beta 90.00
_cell_angle_gamma 90.00
loop_
_atom_site_label
_atom_site_type_symbol
_atom_site_fract_x
_atom_site_fract_y
_atom_site_fract_z
_atom_site_occupancy
Pr1 Pr 0.000 0.000 0.000 1
Bi1 Bi 0.000 0.000 0.343 1
Pb1 Pb 0.000 0.000 0.681 1
O1 O 0.000 0.000 0.532 1
```

crystal system	tetragonal
total energy	-5.60	eV per atom
formation energy from raw total energies	-1.264	eV per atom
total magnetization	0.000	Bohr magnetons per cell